# 1
Material: NpClF2
Method: DFT, PBE
State: optimized geometry

```
data_NpClF2
_chemical_formula_sum 'Np1 Cl1 F2'
_symmetry_space_group_name_H-M 'P 1'
_symmetry_Int_Tables_number 1
_cell_length_a 4.116
_cell_length_b 4.116
_cell_length_c 5.550
_cell_angle_alpha 68.24
_cell_angle_beta 68.24
_cell_angle_gamma 60.00
loop_
_symmetry_equiv_pos_as_xyz
'x,y,z'
loop_
_atom_site_label
_atom_site_type_symbol
_atom_site_fract_x
_atom_site_fract_y
_atom_site_fract_z
Cl1 Cl 0.492 0.492 0.524
Np1 Np 0.681 0.681 0.958
F1 F 0.299 0.299 0.102
F2 F 0.028 0.028 0.916
```

Calculated values
Uncorrected formation energy = -2.85 eV/atom
Relative energy among the computed polymorphs = 32 meV per atom
Final energy = -29.95 eV per cell


# 2
Material: Pm2DyHo3As6
Method: DFT, PBE
State: optimized geometry

```
data_Pm2DyHo3As6
_chemical_formula_sum 'Pm2 Dy1 Ho3 As6'
_symmetry_space_group_name_H-M 'P 1'
_symmetry_Int_Tables_number 1
_cell_length_a 4.152
_cell_length_b 8.297
_cell_length_c 9.277
_cell_angle_alpha 102.89
_cell_angle_beta 102.93
_cell_angle_gamma 90.00
loop_
_symmetry_equiv_pos_as_xyz
'x,y,z'
loop_
_atom_site_label
_atom_site_type_symbol
_atom_site_fract_x
_atom_site_fract_y
_atom_site_fract_z
As1 As 0.333 0.923 0.667
As2 As 0.335 0.412 0.670
As3 As 0.998 0.249 0.996
Ho1 Ho 0.167 0.834 0.334
Ho2 Ho 0.833 0.166 0.666
As4 As 0.667 0.077 0.333
Pm1 Pm 0.166 0.332 0.332
Pm2 Pm 0.834 0.668 0.668
Ho3 Ho 0.500 0.500 0.000
As5 As 0.002 0.751 0.004
Dy1 Dy 0.500 0.000 0.000
As6 As 0.665 0.588 0.330
```

Calculated values
Final energy = -74.02 eV per cell
ΔH_f (0 K) = -1524 meV/atom


# 3
Material: Ta3Co5H12
Method: DFT, PBE
State: optimized geometry

```
data_Ta3Co5H12
_chemical_formula_sum 'Ta12 Co20 H48'
_symmetry_space_group_name_H-M 'P 1'
_symmetry_Int_Tables_number 1
_cell_length_a 9.063
_cell_length_b 9.063
_cell_length_c 9.063
_cell_angle_alpha 109.47
_cell_angle_beta 109.47
_cell_angle_gamma 109.47
loop_
_symmetry_equiv_pos_as_xyz
'x,y,z'
loop_
_atom_site_label
_atom_site_type_symbol
_atom_site_fract_x
_atom_site_fract_y
_atom_site_fract_z
Ta1 Ta 0.125 0.875 0.750
H1 H 0.914 0.085 0.877
H2 H 0.623 0.037 0.208
Co1 Co 0.750 0.625 0.375
Co2 Co 0.625 0.875 0.250
Co3 Co 0.000 0.500 0.000
H3 H 0.415 0.292 0.329
H4 H 0.914 0.829 0.537
H5 H 0.623 0.586 0.915
H6 H 0.671 0.208 0.585
H7 H 0.671 0.463 0.586
H8 H 0.463 0.671 0.086
Co4 Co 0.750 0.125 0.875
Ta2 Ta 0.375 0.625 0.250
H9 H 0.829 0.914 0.037
H10 H 0.463 0.792 0.877
H11 H 0.877 0.292 0.463
Co5 Co 0.500 0.000 0.000
H12 H 0.586 0.623 0.415
H13 H 0.537 0.208 0.123
Co6 Co 0.875 0.250 0.625
H14 H 0.123 0.708 0.537
H15 H 0.171 0.085 0.708
H16 H 0.792 0.463 0.377
H17 H 0.708 0.585 0.171
Co7 Co 0.250 0.375 0.625
Ta3 Ta 0.250 0.625 0.875
Ta4 Ta 0.875 0.750 0.125
H18 H 0.329 0.792 0.415
H19 H 0.086 0.915 0.123
H20 H 0.415 0.123 0.586
H21 H 0.377 0.963 0.792
Co8 Co 0.500 0.000 0.500
Co9 Co 0.000 0.000 0.000
H22 H 0.585 0.877 0.414
Co10 Co 0.500 0.500 0.000
H23 H 0.208 0.537 0.623
Co11 Co 0.000 0.000 0.500
H24 H 0.414 0.377 0.585
Ta5 Ta 0.750 0.875 0.625
H25 H 0.123 0.415 0.086
Ta6 Ta 0.875 0.125 0.250
H26 H 0.086 0.171 0.463
H27 H 0.792 0.329 0.915
H28 H 0.708 0.123 0.037
H29 H 0.585 0.708 0.671
H30 H 0.171 0.086 0.963
H31 H 0.414 0.037 0.329
H32 H 0.037 0.623 0.708
Co12 Co 0.375 0.125 0.750
Ta7 Ta 0.625 0.375 0.750
H33 H 0.377 0.414 0.085
Co13 Co 0.500 0.500 0.500
H34 H 0.037 0.414 0.829
Ta8 Ta 0.625 0.250 0.375
H35 H 0.963 0.586 0.171
Ta9 Ta 0.250 0.125 0.375
H36 H 0.085 0.171 0.208
H37 H 0.292 0.877 0.963
Ta10 Ta 0.125 0.250 0.875
H38 H 0.915 0.086 0.623
Co14 Co 0.000 0.500 0.500
H39 H 0.208 0.671 0.085
H40 H 0.537 0.329 0.914
H41 H 0.292 0.415 0.829
H42 H 0.963 0.377 0.292
H43 H 0.877 0.585 0.914
Co15 Co 0.625 0.750 0.875
H44 H 0.829 0.915 0.292
Co16 Co 0.250 0.875 0.125
H45 H 0.085 0.914 0.377
H46 H 0.915 0.829 0.792
Ta11 Ta 0.750 0.375 0.125
H47 H 0.586 0.963 0.671
Co17 Co 0.125 0.375 0.250
Co18 Co 0.375 0.250 0.125
Co19 Co 0.125 0.750 0.375
Ta12 Ta 0.375 0.750 0.625
Co20 Co 0.875 0.625 0.750
H48 H 0.329 0.537 0.414
```

Calculated values
Final energy = -442.75 eV per cell


# 4
Material: MnReGeOs
Method: DFT, PBE
State: optimized geometry

```
data_MnReGeOs
_chemical_formula_sum 'Mn1 Re1 Ge1 Os1'
_symmetry_space_group_name_H-M 'P 1'
_symmetry_Int_Tables_number 1
_cell_length_a 4.276
_cell_length_b 4.276
_cell_length_c 4.276
_cell_angle_alpha 60.00
_cell_angle_beta 60.00
_cell_angle_gamma 60.00
loop_
_symmetry_equiv_pos_as_xyz
'x,y,z'
loop_
_atom_site_label
_atom_site_type_symbol
_atom_site_fract_x
_atom_site_fract_y
_atom_site_fract_z
Re1 Re 0.500 0.500 0.500
Os1 Os 0.000 0.000 0.000
Ge1 Ge 0.250 0.250 0.250
Mn1 Mn 0.750 0.750 0.750
```

Calculated values
Final energy = -37.23 eV per cell
ΔH_f (0 K) = 59 meV/atom


# 5
Material: MnZn6Pd
Method: DFT, PBE
State: optimized geometry

```
data_MnZn6Pd
_chemical_formula_sum 'Mn1 Zn6 Pd1'
_symmetry_space_group_name_H-M 'P 1'
_symmetry_Int_Tables_number 1
_cell_length_a 3.883
_cell_length_b 3.883
_cell_length_c 7.547
_cell_angle_alpha 90.00
_cell_angle_beta 90.00
_cell_angle_gamma 90.00
loop_
_symmetry_equiv_pos_as_xyz
'x,y,z'
loop_
_atom_site_label
_atom_site_type_symbol
_atom_site_fract_x
_atom_site_fract_y
_atom_site_fract_z
Zn1 Zn 0.500 0.000 0.254
Pd1 Pd 0.000 0.000 0.000
Mn1 Mn 0.000 0.000 0.500
Zn2 Zn 0.500 0.500 0.500
Zn3 Zn 0.500 0.000 0.746
Zn4 Zn 0.500 0.500 0.000
Zn5 Zn 0.000 0.500 0.254
Zn6 Zn 0.000 0.500 0.746
```

Calculated values
Relative energy among the computed polymorphs = 0 meV per atom
Final energy = -23.44 eV per cell
ΔH_f (0 K) = -179 meV/atom


# 6
Material: SrZn2PH2
Method: DFT, PBE
State: optimized geometry

```
data_SrZn2PH2
_chemical_formula_sum 'Sr2 Zn4 P2 H4'
_symmetry_space_group_name_H-M 'P 1'
_symmetry_Int_Tables_number 1
_cell_length_a 5.659
_cell_length_b 6.573
_cell_length_c 6.313
_cell_angle_alpha 124.77
_cell_angle_beta 90.00
_cell_angle_gamma 90.00
loop_
_symmetry_equiv_pos_as_xyz
'x,y,z'
loop_
_atom_site_label
_atom_site_type_symbol
_atom_site_fract_x
_atom_site_fract_y
_atom_site_fract_z
P1 P 0.250 0.181 0.910
Zn1 Zn 0.008 0.221 0.256
Zn2 Zn 0.992 0.779 0.744
H1 H 0.750 0.811 0.580
H2 H 0.750 0.392 0.410
H3 H 0.250 0.189 0.420
Sr1 Sr 0.750 0.252 0.730
H4 H 0.250 0.608 0.590
Sr2 Sr 0.250 0.748 0.270
Zn3 Zn 0.492 0.221 0.256
P2 P 0.750 0.819 0.090
Zn4 Zn 0.508 0.779 0.744
```

Calculated values
Final energy = -35.36 eV per cell


# 7
Material: TmHfRe4
Method: DFT, PBE
State: optimized geometry

```
data_TmHfRe4
_chemical_formula_sum 'Tm1 Hf1 Re4'
_symmetry_space_group_name_H-M 'P 1'
_symmetry_Int_Tables_number 1
_cell_length_a 5.331
_cell_length_b 5.331
_cell_length_c 5.331
_cell_angle_alpha 60.00
_cell_angle_beta 60.00
_cell_angle_gamma 60.00
loop_
_symmetry_equiv_pos_as_xyz
'x,y,z'
loop_
_atom_site_label
_atom_site_type_symbol
_atom_site_fract_x
_atom_site_fract_y
_atom_site_fract_z
Hf1 Hf 0.000 0.000 0.000
Re1 Re 0.625 0.625 0.625
Re2 Re 0.625 0.625 0.124
Tm1 Tm 0.250 0.250 0.250
Re3 Re 0.124 0.625 0.625
Re4 Re 0.625 0.124 0.625
```

Calculated values
Final energy = -65.89 eV per cell
ΔH_f (0 K) = -279 meV/atom


# 8
Material: CuTc2Sb
Method: DFT, PBE
State: optimized geometry

```
data_CuTc2Sb
_chemical_formula_sum 'Cu1 Tc2 Sb1'
_symmetry_space_group_name_H-M 'P 1'
_symmetry_Int_Tables_number 1
_cell_length_a 4.352
_cell_length_b 2.962
_cell_length_c 5.042
_cell_angle_alpha 82.92
_cell_angle_beta 90.00
_cell_angle_gamma 90.00
loop_
_symmetry_equiv_pos_as_xyz
'x,y,z'
loop_
_atom_site_label
_atom_site_type_symbol
_atom_site_fract_x
_atom_site_fract_y
_atom_site_fract_z
Cu1 Cu 0.500 0.250 0.250
Tc1 Tc 0.000 0.955 0.022
Tc2 Tc 0.000 0.545 0.478
Sb1 Sb 0.500 0.750 0.750
```

Calculated values
Uncorrected formation energy = 0.42 eV/atom
Final energy = -27.28 eV per cell


# 9
Material: UAuF6
Method: DFT, PBE
State: optimized geometry

```
data_UAuF6
_chemical_formula_sum 'U1 Au1 F6'
_symmetry_space_group_name_H-M 'P 1'
_symmetry_Int_Tables_number 1
_cell_length_a 5.781
_cell_length_b 5.781
_cell_length_c 6.292
_cell_angle_alpha 62.65
_cell_angle_beta 62.65
_cell_angle_gamma 60.00
loop_
_symmetry_equiv_pos_as_xyz
'x,y,z'
loop_
_atom_site_label
_atom_site_type_symbol
_atom_site_fract_x
_atom_site_fract_y
_atom_site_fract_z
F1 F 0.592 0.090 0.228
F2 F 0.408 0.910 0.772
U1 U 0.000 0.000 0.000
F3 F 0.910 0.408 0.772
F4 F 0.090 0.090 0.228
Au1 Au 0.500 0.500 0.500
F5 F 0.090 0.592 0.228
F6 F 0.910 0.910 0.772
```

Calculated values
Uncorrected formation energy = -2.58 eV/atom
Final energy = -46.47 eV per cell


# 10
Material: KV
Method: DFT, PBE
State: optimized geometry

```
data_KV
_chemical_formula_sum 'K1 V1'
_symmetry_space_group_name_H-M 'P 1'
_symmetry_Int_Tables_number 1
_cell_length_a 3.299
_cell_length_b 3.305
_cell_length_c 6.461
_cell_angle_alpha 76.00
_cell_angle_beta 75.79
_cell_angle_gamma 60.36
loop_
_symmetry_equiv_pos_as_xyz
'x,y,z'
loop_
_atom_site_label
_atom_site_type_symbol
_atom_site_fract_x
_atom_site_fract_y
_atom_site_fract_z
V1 V 0.854 0.572 0.975
K1 K 0.353 0.076 0.475
```

Calculated values
Relative energy among the computed polymorphs = 702 meV per atom
Final energy = -7.33 eV per cell
ΔH_f (0 K) = 1444 meV/atom


# 11
Material: La3Ge4Ru2
Method: DFT, PBE
State: optimized geometry

```
data_La3Ge4Ru2
_chemical_formula_sum 'La3 Ge4 Ru2'
_symmetry_space_group_name_H-M 'P 1'
_symmetry_Int_Tables_number 1
_cell_length_a 4.422
_cell_length_b 6.096
_cell_length_c 8.493
_cell_angle_alpha 106.97
_cell_angle_beta 90.00
_cell_angle_gamma 111.26
loop_
_symmetry_equiv_pos_as_xyz
'x,y,z'
loop_
_atom_site_label
_atom_site_type_symbol
_atom_site_fract_x
_atom_site_fract_y
_atom_site_fract_z
La1 La 0.000 0.000 0.000
Ge1 Ge 0.107 0.214 0.399
La2 La 0.384 0.767 0.305
La3 La 0.616 0.233 0.695
Ru1 Ru 0.692 0.384 0.364
Ge2 Ge 0.288 0.576 0.918
Ru2 Ru 0.308 0.616 0.636
Ge3 Ge 0.712 0.424 0.082
Ge4 Ge 0.893 0.786 0.601
```

Calculated values
Final energy = -58.39 eV per cell
ΔH_f (0 K) = -732 meV/atom